The following is a DFT calculation (PBE-GGA) of a relaxed structure of TaMo2Ir2.

a b c (Å): 7.616 7.616 2.800
angles (deg): 90.00 90.00 90.00
Sites, in units of the cell vectors:
Ta (0.000, 0.000, 0.000)
Ta (0.500, 0.500, 0.000)
Mo (0.171, 0.329, 0.500)
Mo (0.329, 0.829, 0.500)
Mo (0.671, 0.171, 0.500)
Mo (0.829, 0.671, 0.500)
Ir (0.126, 0.626, 0.000)
Ir (0.374, 0.126, 0.000)
Ir (0.626, 0.874, 0.000)
Ir (0.874, 0.374, 0.000)

formation energy from the elements	-0.146	eV per atom

***

The following is a DFT calculation (PBE-GGA) of a relaxed structure of TaMoIr.

a b c (Å): 4.324 4.324 4.324
angles (deg): 60.00 60.00 60.00
Sites, in units of the cell vectors:
Ta (0.000, 0.000, 0.000)
Mo (0.500, 0.500, 0.500)
Ir (0.750, 0.750, 0.750)

formation energy from the elements	0.269	eV per atom

***

no.,energy above the lowest structure with this stoichiometry (meV/atom)
1,0.0
2,508.5